(1)
KCuAgCl3 | PBE-GGA | relaxed

a b c (Å): 9.926 9.926 8.631
angles (deg): 112.93 112.93 23.70
Element x y z (fractional)
K: 0.156 0.156 0.276
K: 0.844 0.844 0.724
Cu: 0.467 0.467 0.607
Cu: 0.533 0.533 0.393
Ag: 0.171 0.171 0.819
Ag: 0.829 0.829 0.181
Cl: 0.012 0.012 0.722
Cl: 0.324 0.324 0.960
Cl: 0.341 0.341 0.434
Cl: 0.659 0.659 0.566
Cl: 0.676 0.676 0.040
Cl: 0.988 0.988 0.278

Results
Its formation energy without anion corrections is -897 meV/atom. As for the total energy: -37.93 eV for the cell shown. The calculated density comes out at 3.36 g/cm3.


(2)
K3Cu2AgCl8 | PBE-GGA | relaxed

a b c (Å): 7.084 7.084 8.988
angles (deg): 90.00 90.00 120.00
Element x y z (fractional)
K: 0.000 0.000 0.000
K: 0.333 0.667 0.618
K: 0.667 0.333 0.382
Cu: 0.333 0.667 0.196
Cu: 0.667 0.333 0.804
Ag: 0.000 0.000 0.500
Cl: 0.169 0.338 0.322
Cl: 0.169 0.831 0.322
Cl: 0.333 0.667 0.954
Cl: 0.338 0.169 0.678
Cl: 0.662 0.831 0.322
Cl: 0.667 0.333 0.046
Cl: 0.831 0.169 0.678
Cl: 0.831 0.662 0.678

Results
Its formation energy without anion corrections is -1101 meV/atom. As for the total energy: -44.52 eV for the cell shown. The calculated density comes out at 2.70 g/cm3.


(3)
KCuAgCl6 | PBE-GGA | relaxed

a b c (Å): 6.544 6.544 6.871
angles (deg): 90.00 90.00 120.00
Element x y z (fractional)
K: 0.000 0.000 0.000
Cu: 0.333 0.667 0.500
Ag: 0.667 0.333 0.500
Cl: 0.022 0.388 0.705
Cl: 0.022 0.635 0.295
Cl: 0.365 0.388 0.295
Cl: 0.365 0.978 0.705
Cl: 0.612 0.635 0.705
Cl: 0.612 0.978 0.295

Results
Its formation energy without anion corrections is -648 meV/atom. As for the total energy: -24.96 eV for the cell shown. The calculated density comes out at 2.76 g/cm3.


(4)
KCu2AgCl6 | PBE-GGA | relaxed

a b c (Å): 9.002 9.002 6.669
angles (deg): 96.18 96.18 91.99
Element x y z (fractional)
K: 0.100 0.900 0.750
K: 0.900 0.100 0.250
Cu: 0.232 0.384 0.727
Cu: 0.384 0.232 0.227
Cu: 0.616 0.768 0.773
Cu: 0.768 0.616 0.273
Ag: 0.289 0.711 0.250
Ag: 0.711 0.289 0.750
Cl: 0.020 0.235 0.687
Cl: 0.179 0.597 0.913
Cl: 0.235 0.020 0.187
Cl: 0.273 0.422 0.403
Cl: 0.403 0.821 0.587
Cl: 0.422 0.273 0.903
Cl: 0.578 0.727 0.097
Cl: 0.597 0.179 0.413
Cl: 0.727 0.578 0.597
Cl: 0.765 0.980 0.813
Cl: 0.821 0.403 0.087
Cl: 0.980 0.765 0.313

Results
Its formation energy without anion corrections is -749 meV/atom. As for the total energy: -61.43 eV for the cell shown. The calculated density comes out at 3.03 g/cm3.


(5)
K3Cu2AgCl6 | PBE-GGA | relaxed

a b c (Å): 7.492 7.492 8.119
angles (deg): 90.00 90.00 120.00
Element x y z (fractional)
K: 0.000 0.000 0.000
K: 0.333 0.667 0.666
K: 0.667 0.333 0.334
Cu: 0.333 0.667 0.264
Cu: 0.667 0.333 0.736
Ag: 0.000 0.000 0.500
Cl: 0.163 0.327 0.281
Cl: 0.163 0.837 0.281
Cl: 0.327 0.163 0.719
Cl: 0.673 0.837 0.281
Cl: 0.837 0.163 0.719
Cl: 0.837 0.673 0.719

Results
Its formation energy without anion corrections is -1111 meV/atom. As for the total energy: -38.75 eV for the cell shown. The calculated density comes out at 2.38 g/cm3.


(6)
KCuAgCl5 | PBE-GGA | relaxed

a b c (Å): 7.503 7.503 9.276
angles (deg): 100.87 100.87 117.67
Element x y z (fractional)
K: 0.179 0.821 0.750
K: 0.821 0.179 0.250
Cu: 0.158 0.842 0.250
Cu: 0.842 0.158 0.750
Ag: 0.500 0.500 0.000
Ag: 0.500 0.500 0.500
Cl: 0.122 0.202 0.929
Cl: 0.202 0.122 0.429
Cl: 0.217 0.675 0.412
Cl: 0.325 0.783 0.088
Cl: 0.431 0.569 0.750
Cl: 0.569 0.431 0.250
Cl: 0.675 0.217 0.912
Cl: 0.783 0.325 0.588
Cl: 0.798 0.878 0.571
Cl: 0.878 0.798 0.071

Results
Its formation energy without anion corrections is -802 meV/atom. As for the total energy: -47.39 eV for the cell shown. The calculated density comes out at 2.99 g/cm3.


(7)
LiCuAg2Cl6 | PBE-GGA | relaxed

a b c (Å): 6.418 6.595 6.848
angles (deg): 71.32 63.74 65.91
Element x y z (fractional)
Li: 0.000 0.000 0.000
Cu: 0.434 0.461 0.590
Ag: 0.247 0.270 0.155
Ag: 0.761 0.799 0.620
Cl: 0.081 0.375 0.830
Cl: 0.127 0.889 0.323
Cl: 0.365 0.690 0.825
Cl: 0.513 0.255 0.345
Cl: 0.678 0.037 0.885
Cl: 0.799 0.534 0.390

Results
Its formation energy without anion corrections is -676 meV/atom. As for the total energy: -29.56 eV for the cell shown. The calculated density comes out at 3.54 g/cm3.


(8)
LiCuAg2Cl8 | PBE-GGA | relaxed

a b c (Å): 7.306 7.306 7.306
angles (deg): 115.02 115.02 98.87
Element x y z (fractional)
Li: 0.000 0.000 0.000
Cu: 0.750 0.250 0.500
Ag: 0.250 0.750 0.500
Ag: 0.500 0.500 0.000
Cl: 0.059 0.355 0.296
Cl: 0.059 0.763 0.704
Cl: 0.080 0.298 0.783
Cl: 0.237 0.941 0.296
Cl: 0.515 0.298 0.217
Cl: 0.645 0.941 0.704
Cl: 0.702 0.485 0.783
Cl: 0.702 0.920 0.217

Results
Its formation energy without anion corrections is -374 meV/atom. As for the total energy: -30.98 eV for the cell shown. The calculated density comes out at 3.23 g/cm3.


(9)
LiCu2AgCl4 | PBE-GGA | relaxed

a b c (Å): 6.858 6.856 5.586
angles (deg): 65.99 65.94 48.07
Element x y z (fractional)
Li: 0.000 0.000 0.000
Cu: 0.249 0.249 0.251
Cu: 0.749 0.749 0.751
Ag: 0.499 0.499 0.501
Cl: 0.097 0.631 0.369
Cl: 0.369 0.903 0.631
Cl: 0.631 0.097 0.903
Cl: 0.903 0.369 0.097

Results
Its formation energy without anion corrections is -753 meV/atom. As for the total energy: -26.37 eV for the cell shown. The calculated density comes out at 3.64 g/cm3.


(10)
Li2CuAgCl6 | PBE-GGA | relaxed

a b c (Å): 8.710 8.710 7.258
angles (deg): 103.73 103.73 100.46
Element x y z (fractional)
Li: 0.076 0.174 0.190
Li: 0.174 0.076 0.690
Li: 0.826 0.924 0.310
Li: 0.924 0.826 0.810
Cu: 0.358 0.642 0.250
Cu: 0.642 0.358 0.750
Ag: 0.277 0.723 0.750
Ag: 0.723 0.277 0.250
Cl: 0.000 0.197 0.494
Cl: 0.000 0.803 0.506
Cl: 0.197 0.000 0.994
Cl: 0.206 0.469 0.350
Cl: 0.207 0.521 0.943
Cl: 0.469 0.206 0.850
Cl: 0.479 0.793 0.557
Cl: 0.521 0.207 0.443
Cl: 0.531 0.794 0.150
Cl: 0.793 0.479 0.057
Cl: 0.794 0.531 0.650
Cl: 0.803 0.000 0.006

Results
Its formation energy without anion corrections is -895 meV/atom. As for the total energy: -61.61 eV for the cell shown. The calculated density comes out at 2.63 g/cm3.